Here is K4TeCl2 after structural relaxation from Alexandria via LeMat-Bulk. Energies are from PBE.

a = 6.5430 Å, b = 6.5430 Å, c = 17.1141 Å
α = 90.00°, β = 90.00°, γ = 90.00°
Space group I4/mmm (No. 139)
Asymmetric unit:
1 K 0.0000 0.0000 0.1922 [4 per cell]
2 K 0.0000 0.5000 0.0000 [4 per cell]
3 Te 0.0000 0.0000 0.0000 [2 per cell]
4 Cl 0.0000 0.0000 0.3631 [4 per cell]

Calculated values
- Volume: 732.7 Å³/cell

Here is PuCdAu4 after structural relaxation from Alexandria via LeMat-Bulk. Energies are from PBE.

a = 4.7453 Å, b = 4.7453 Å, c = 6.6444 Å
α = 90.00°, β = 90.00°, γ = 120.00°
Space group P6/mmm (No. 191)
Asymmetric unit:
1 Pu 0.0000 0.0000 0.0000 [1 per cell]
2 Cd 0.0000 0.0000 0.5000 [1 per cell]
3 Au 0.3333 0.6667 0.2644 [4 per cell]

Calculated values
- Excess energy over the best structure of this formula in the dataset: 0.000 eV per atom
- Volume: 129.6 Å³/cell
- Calculated formation energy: -0.274 eV/atom

Here is Mn2Sb after structural relaxation from Alexandria via LeMat-Bulk. Energies are from PBE.

a = 6.0113 Å, b = 6.0113 Å, c = 6.0113 Å
α = 90.00°, β = 90.00°, γ = 90.00°
Space group F-43m (No. 216)
Asymmetric unit:
1 Mn 0.0000 0.0000 0.0000 [4 per cell]
2 Mn 0.2500 0.2500 0.2500 [4 per cell]
3 Sb 0.0000 0.0000 0.5000 [4 per cell]

Calculated values
- Volume: 217.2 Å³/cell

Here is CoCuCl2 after structural relaxation from Alexandria via LeMat-Bulk. Energies are from PBE.

a = 3.3790 Å, b = 3.3790 Å, c = 22.3580 Å
α = 90.00°, β = 90.00°, γ = 120.00°
Space group R3m (No. 160, hexagonal axes)
Asymmetric unit:
1 Co 0.0000 0.0000 0.0000 [3 per cell]
2 Cu 0.0000 0.0000 0.7389 [3 per cell]
3 Cl 0.0000 0.0000 0.2876 [3 per cell]
4 Cl 0.0000 0.0000 0.4644 [3 per cell]

Calculated values
- Excess energy over the best structure of this formula in the dataset: 0.000 eV per atom
- Volume: 221.1 Å³/cell

Here is YCd3Pd after structural relaxation from Alexandria via LeMat-Bulk. Energies are from PBE.

a = 5.0941 Å, b = 5.0941 Å, c = 5.0941 Å
α = 90.00°, β = 90.00°, γ = 90.00°
Space group Pm-3m (No. 221)
Asymmetric unit:
1 Y 0.0000 0.0000 0.0000 [1 per cell]
2 Cd 0.0000 0.5000 0.5000 [3 per cell]
3 Pd 0.5000 0.5000 0.5000 [1 per cell]

Calculated values
- Excess energy over the best structure of this formula in the dataset: 0.356 eV per atom
- Volume: 132.2 Å³/cell
- Calculated formation energy: -0.021 eV/atom

Here is CdCu2Br4 after structural relaxation from Alexandria via LeMat-Bulk. Energies are from PBE.

a = 5.7858 Å, b = 5.7858 Å, c = 5.9522 Å
α = 90.00°, β = 90.00°, γ = 90.00°
Space group P-42m (No. 111)
Asymmetric unit:
1 Cd 0.0000 0.0000 0.0000 [1 per cell]
2 Cu 0.0000 0.5000 0.5000 [2 per cell]
3 Br 0.2616 0.2616 0.2657 [4 per cell]

Calculated values
- Volume: 199.3 Å³/cell

no.,uncorrected energy (eV per atom)
1,-2.9015
2,-5.0000
3,-7.4308
4,-3.8581
5,-2.9017
6,-2.7522